(1)
DFT (GGA-PBE) results for MgAlIr after structural relaxation.

Formation energy from the elements: -1.6 eV/f.u.
Calculated volume: 47 Å³/cell
Uncorrected energy: -0.194 hartree per atom
Magnetic moment: 0.0 μB per cell

Unit cell a=5.090 b=5.090 c=5.090 alpha=145.38 beta=140.78 gamma=53.30
Fractional coordinates of all 3 atoms:
Mg1 0.000 0.000 0.000
Al1 0.696 0.696 0.000
Ir1 0.324 0.324 0.000

---

(2)
DFT (GGA-PBE) results for MgAlIr4 after structural relaxation.

Formation energy from the elements: -0.3 eV/f.u.
Calculated volume: 99 Å³/cell
Uncorrected energy: -0.251 hartree per atom
Magnetic moment: 0.0 μB per cell

Unit cell a=5.186 b=5.186 c=5.186 alpha=60.00 beta=60.00 gamma=60.00
Fractional coordinates of all 6 atoms:
Mg1 0.000 0.000 0.000
Al1 0.750 0.750 0.750
Ir1 0.375 0.375 0.375
Ir2 0.375 0.375 0.875
Ir3 0.375 0.875 0.375
Ir4 0.875 0.375 0.375

---

(3)
DFT (GGA-PBE) results for Mg3Al7Ir4 after structural relaxation.

Formation energy from the elements: -8.5 eV/f.u.
Calculated volume: 236 Å³/cell
Uncorrected energy: -0.197 hartree per atom
Magnetic moment: 0.0 μB per cell

Unit cell a=6.923 b=6.923 c=10.075 alpha=123.32 beta=123.32 gamma=36.77
Fractional coordinates of all 14 atoms:
Mg1 0.000 0.000 0.000
Mg2 0.337 0.337 0.271
Mg3 0.663 0.663 0.729
Al1 0.000 0.000 0.500
Al2 0.184 0.184 0.389
Al3 0.312 0.312 0.972
Al4 0.460 0.460 0.756
Al5 0.540 0.540 0.244
Al6 0.688 0.688 0.028
Al7 0.816 0.816 0.611
Ir1 0.073 0.073 0.799
Ir2 0.245 0.245 0.679
Ir3 0.755 0.755 0.321
Ir4 0.927 0.927 0.201

---

What did the third record say?
DFT (GGA-PBE) results for Mg3Al7Ir4 after structural relaxation.

Formation energy from the elements: -8.5 eV/f.u.
Calculated volume: 236 Å³/cell
Uncorrected energy: -0.197 hartree per atom
Magnetic moment: 0.0 μB per cell

Unit cell a=6.923 b=6.923 c=10.075 alpha=123.32 beta=123.32 gamma=36.77
Fractional coordinates of all 14 atoms:
Mg1 0.000 0.000 0.000
Mg2 0.337 0.337 0.271
Mg3 0.663 0.663 0.729
Al1 0.000 0.000 0.500
Al2 0.184 0.184 0.389
Al3 0.312 0.312 0.972
Al4 0.460 0.460 0.756
Al5 0.540 0.540 0.244
Al6 0.688 0.688 0.028
Al7 0.816 0.816 0.611
Ir1 0.073 0.073 0.799
Ir2 0.245 0.245 0.679
Ir3 0.755 0.755 0.321
Ir4 0.927 0.927 0.201